(1)
The following is a DFT calculation (PBE) of TaBPdAu2 after structural relaxation.

The calculation puts the density of states at the Fermi level at 4.18 states/eV per cell. The uncorrected energy comes out at -4.9258 eV per atom. As for the volume: 96 Å³/cell. Its formation enthalpy at 0 K is 545 kJ/mol of formula units.

The structure belongs to space group P4/mmm (No. 123); the cell edges are 5.0555, 5.0555 and 3.7669 Å and the angles 90.00°, 90.00° and 90.00°. The inequivalent atoms are Ta at (0.0000, 0.0000, 0.0000), B at (0.5000, 0.5000, 0.0000), Pd at (0.5000, 0.5000, 0.5000) and Au at (0.0000, 0.5000, 0.5000).

***

(2)
The following is a DFT calculation (PBE) of Ta2BPdAu after structural relaxation.

For the polymorph energy (0 for the lowest one), the calculation gives 0 meV per atom. The calculation puts the density of states at the Fermi level at 5.31 states/eV per cell. The uncorrected energy comes out at -6.5975 eV per atom. As for the volume: 94 Å³/cell. Its formation enthalpy at 0 K is 566 kJ/mol of formula units.

The structure belongs to space group P4/mmm (No. 123); the cell edges are 4.9364, 4.9364 and 3.8583 Å and the angles 90.00°, 90.00° and 90.00°. The inequivalent atoms are Ta at (0.0000, 0.5000, 0.0000), B at (0.0000, 0.0000, 0.5000), Pd at (0.0000, 0.0000, 0.0000) and Au at (0.5000, 0.5000, 0.5000).

***

(3)
The following is a DFT calculation (PBE) of Ta2BPdAu after structural relaxation.

For the polymorph energy (0 for the lowest one), the calculation gives 925 meV per atom. The calculation puts the density of states at the Fermi level at 4.11 states/eV per cell. The uncorrected energy comes out at -5.6722 eV per atom. As for the volume: 112 Å³/cell. Its formation enthalpy at 0 K is 1012 kJ/mol of formula units.

The structure belongs to space group P4/mmm (No. 123); the cell edges are 4.7912, 4.7912 and 4.8990 Å and the angles 90.00°, 90.00° and 90.00°. The inequivalent atoms are Ta at (0.0000, 0.5000, 0.0000), B at (0.0000, 0.0000, 0.5000), Pd at (0.5000, 0.5000, 0.0000) and Au at (0.5000, 0.5000, 0.5000).

***

(4)
The following is a DFT calculation (PBE) of VB2PdAu after structural relaxation.

The calculation puts the density of states at the Fermi level at 4.64 states/eV per cell. The uncorrected energy comes out at -4.8932 eV per atom. As for the volume: 78 Å³/cell. Its formation enthalpy at 0 K is 625 kJ/mol of formula units.

The structure belongs to space group P4/mmm (No. 123); the cell edges are 3.9901, 3.9901 and 4.9233 Å and the angles 90.00°, 90.00° and 90.00°. The inequivalent atoms are V at (0.0000, 0.0000, 0.0000), B at (0.0000, 0.5000, 0.0000), Pd at (0.5000, 0.5000, 0.5000) and Au at (0.0000, 0.0000, 0.5000).

***

(5)
The following is a DFT calculation (PBE) of BPdWAu2 after structural relaxation.

The calculation puts the density of states at the Fermi level at 5.35 states/eV per cell. The uncorrected energy comes out at -5.7615 eV per atom. As for the volume: 78 Å³/cell. Its formation enthalpy at 0 K is 248 kJ/mol of formula units.

The structure belongs to space group P4/mmm (No. 123); the cell edges are 4.2853, 4.2853 and 4.2653 Å and the angles 90.00°, 90.00° and 90.00°. The inequivalent atoms are B at (0.0000, 0.0000, 0.0000), Pd at (0.5000, 0.5000, 0.5000), W at (0.0000, 0.0000, 0.5000) and Au at (0.0000, 0.5000, 0.0000).

***

(6)
The following is a DFT calculation (PBE) of YBPd2Au after structural relaxation.

The calculation puts the density of states at the Fermi level at 2.76 states/eV per cell. The uncorrected energy comes out at -5.8428 eV per atom. As for the volume: 84 Å³/cell. Its formation enthalpy at 0 K is -232 kJ/mol of formula units.

The structure belongs to space group P4/mmm (No. 123); the cell edges are 4.3885, 4.3885 and 4.3771 Å and the angles 90.00°, 90.00° and 90.00°. The inequivalent atoms are Y at (0.0000, 0.0000, 0.0000), B at (0.5000, 0.5000, 0.5000), Pd at (0.0000, 0.5000, 0.5000) and Au at (0.5000, 0.5000, 0.0000).

***

(7)
The following is a DFT calculation (PBE) of Pm4BAu2 after structural relaxation.

The calculation puts the density of states at the Fermi level at 19.52 states/eV per cell. The uncorrected energy comes out at -4.8964 eV per atom. As for the volume: 386 Å³/cell. Its formation enthalpy at 0 K is -197 kJ/mol of formula units.

The structure belongs to space group I4/mmm (No. 139); the cell edges are 5.0809, 5.0809 and 14.9527 Å and the angles 90.00°, 90.00° and 90.00°. The inequivalent atoms are Pm at (0.0000, 0.0000, 0.1789), Pm at (0.0000, 0.5000, 0.0000), B at (0.0000, 0.0000, 0.0000) and Au at (0.0000, 0.0000, 0.3736).

***

(8)
The following is a DFT calculation (PBE) of Pm2BPt4Au2 after structural relaxation.

The calculation puts the density of states at the Fermi level at 9.05 states/eV per cell. The uncorrected energy comes out at -5.9150 eV per atom. As for the volume: 329 Å³/cell. Its formation enthalpy at 0 K is -612 kJ/mol of formula units.

The structure belongs to space group I4/mmm (No. 139); the cell edges are 6.1796, 6.1796 and 8.6246 Å and the angles 90.00°, 90.00° and 90.00°. The inequivalent atoms are Pm at (0.0000, 0.5000, 0.2500), B at (0.0000, 0.0000, 0.0000), Pt at (0.2469, 0.2469, 0.0000) and Au at (0.0000, 0.0000, 0.2766).